Y2Mg3Cu4: PBEsol geometry, SCAN.

Calculated total energy = -133.3 eV per cell
Volume = 18.53 Å³/atom
SG = C2/m, No. 12

Lattice parameters (Å, degrees): 4.3176 5.3003 7.7246 100.25 106.23 90.00
With the nearest neighbours (Å) after each atom.
Fractional positions:
Cu1 0.4981 0.7794 0.9962  1 Cu 2.33
Cu2 0.2647 0.8777 0.5293  2 Cu 2.60, 3 Mg 2.69-2.84, 4 Y 2.80-2.87
Cu3 0.5019 0.2206 0.0038  1 Cu 2.33
Cu4 0.7353 0.1223 0.4707  2 Cu 2.60, 3 Mg 2.69-2.84, 4 Y 2.80-2.87
Y1 0.6668 0.5941 0.3337  6 Cu 2.80-2.87
Y2 0.3332 0.4059 0.6663  6 Cu 2.80-2.87
Mg1 0.1083 0.0649 0.2167  7 Cu 2.69-2.95
Mg2 0.0000 0.5000 0.0000  4 Cu 2.62
Mg3 0.8917 0.9351 0.7833  7 Cu 2.69-2.95



Y2Mg2Cu: PBEsol geometry, SCAN.

Calculated total energy = -163.0 eV per cell
Volume = 23.27 Å³/atom
SG = C2/c, No. 15
ΔE to the lowest computed polymorph = 0 meV/atom

Lattice parameters (Å, degrees): 6.4101 6.4466 6.8607 106.31 90.00 119.81
With the nearest neighbours (Å) after each atom.
Fractional positions:
Y1 0.5696 0.3115 0.6248  2 Cu 2.80-3.06
Y2 0.2582 0.6885 0.8752  2 Cu 2.80-3.06
Y3 0.7418 0.3115 0.1248  2 Cu 2.80-3.06
Y4 0.4304 0.6885 0.3752  2 Cu 2.80-3.06
Cu1 0.7492 0.0000 0.7500  4 Mg 2.74-2.76, 4 Y 2.80-3.06
Cu2 0.2508 0.0000 0.2500  4 Mg 2.74-2.76, 4 Y 2.80-3.06
Mg1 0.9994 0.2082 0.4654  2 Cu 2.74-2.76, 1 Mg 2.86
Mg2 0.7911 0.7918 0.0346  2 Cu 2.74-2.76, 1 Mg 2.86
Mg3 0.2089 0.2082 0.9654  2 Cu 2.74-2.76, 1 Mg 2.86
Mg4 0.0006 0.7918 0.5346  2 Cu 2.74-2.76, 1 Mg 2.86